No. 1
Compound: MnCu2Bi2
Source: Alexandria
Functional: PBE
Structure: optimized geometry

The calculation puts the energy of formation at 0.297 eV per atom. As for the density: 9.91 g/cm³.

```
data_MnCu2Bi2
_chemical_formula_sum 'Mn2 Cu4 Bi4'
_symmetry_space_group_name_H-M 'P 4/m b m'
_symmetry_Int_Tables_number 127
_symmetry_space_group_name_Hall '-P 4 2ab'
_cell_length_a 7.046
_cell_length_b 7.046
_cell_length_c 4.050
_cell_angle_alpha 90.00
_cell_angle_beta 90.00
_cell_angle_gamma 90.00
loop_
_atom_site_label
_atom_site_fract_x
_atom_site_fract_y
_atom_site_fract_z
Mn1 0.000 0.000 0.000
Cu1 0.126 0.374 0.000
Bi1 0.178 0.678 0.500
```

---

No. 2
Compound: Ta3Sb4
Source: Alexandria
Functional: PBE
Structure: optimized geometry

As for the density: 11.57 g/cm³. The calculation puts the uncorrected formation energy at 0.025 eV/atom.

```
data_Ta3Sb4
_chemical_formula_sum 'Ta6 Sb8'
_symmetry_space_group_name_H-M 'I 4/m m m'
_symmetry_Int_Tables_number 139
_symmetry_space_group_name_Hall '-I 4 2'
_cell_length_a 3.625
_cell_length_b 3.625
_cell_length_c 22.497
_cell_angle_alpha 90.00
_cell_angle_beta 90.00
_cell_angle_gamma 90.00
loop_
_atom_site_label
_atom_site_fract_x
_atom_site_fract_y
_atom_site_fract_z
Ta1 0.000 0.000 0.000
Ta2 0.000 0.000 0.290
Sb1 0.000 0.000 0.157
Sb2 0.000 0.000 0.432
```

---

No. 3
Compound: MgNi6Ru
Source: Alexandria
Functional: PBE
Structure: optimized geometry

The calculation puts the energy of formation at -0.001 eV per atom. As for the density: 8.30 g/cm³.

```
data_MgNi6Ru
_chemical_formula_sum 'Mg8 Ni48 Ru8'
_symmetry_space_group_name_H-M 'C m m m'
_symmetry_Int_Tables_number 65
_symmetry_space_group_name_Hall '-C 2 2'
_cell_length_a 7.248
_cell_length_b 10.262
_cell_length_c 10.277
_cell_angle_alpha 90.00
_cell_angle_beta 90.00
_cell_angle_gamma 90.00
loop_
_atom_site_label
_atom_site_fract_x
_atom_site_fract_y
_atom_site_fract_z
Mg1 0.000 0.000 0.250
Mg2 0.000 0.249 0.000
Ni1 0.000 0.000 0.000
Ni2 0.000 0.000 0.500
Ni3 0.000 0.253 0.254
Ni4 0.000 0.500 0.000
Ni5 0.000 0.500 0.500
Ni6 0.246 0.374 0.377
Ni7 0.246 0.377 0.127
Ru1 0.000 0.246 0.500
Ru2 0.000 0.500 0.246
```

---

No. 4
Compound: TbCe2Zn2Au2
Source: Alexandria
Functional: PBE
Structure: optimized geometry

The calculation puts the energy of formation at -0.498 eV per atom. As for the density: 10.45 g/cm³.

```
data_TbCe2Zn2Au2
_chemical_formula_sum 'Tb3 Ce6 Zn6 Au6'
_symmetry_space_group_name_H-M 'R -3 m'
_symmetry_Int_Tables_number 166
_symmetry_space_group_name_Hall '-R 3 2"'
_cell_length_a 4.5014
_cell_length_b 4.5014
_cell_length_c 26.1919
_cell_angle_alpha 90.00
_cell_angle_beta 90.00
_cell_angle_gamma 120.00
loop_
_atom_site_label
_atom_site_fract_x
_atom_site_fract_y
_atom_site_fract_z
Tb1 0.0000 0.0000 0.0000
Ce1 0.0000 0.0000 0.1394
Zn1 0.0000 0.0000 0.4031
Au1 0.0000 0.0000 0.2636
```

---

> density of number 4 (TbCe2Zn2Au2)?

10.45 g/cm³

---

> The lowest density belongs to which entry?

MgNi6Ru

---

> The highest density belongs to which entry?

Ta3Sb4